First-principles (PBE) data for Sr3Nd4Se8 after structural relaxation, as listed in Alexandria.

POSCAR file:
```
Sr3Nd4Se8
1.0
6.082 -6.097 0.000
6.082 6.097 0.000
-6.005 0.000 6.116
Sr Nd Se
3 4 8
Cartesian
0.000 0.000 0.000
3.041 3.049 0.000
3.041 -3.049 0.000
0.039 3.049 3.058
0.039 -3.049 3.058
6.082 0.000 0.000
3.080 0.000 3.058
6.082 3.009 0.000
3.080 3.000 3.058
0.064 0.000 3.106
3.113 0.000 0.088
3.046 0.000 6.028
6.095 0.000 3.011
3.080 -3.000 3.058
6.082 -3.009 0.000
```

Values from the calculation:
**Energy relative to the elements, uncorrected**: -1925 meV per atom
**Calculated volume**: 453.6 Å³/cell
**Electronic total energy**: -5.3913 eV/atom

---

First-principles (PBE) data for CsTbCu2Cl8 after structural relaxation, as listed in Alexandria.

POSCAR file:
```
CsTbCu2Cl8
1.0
4.896 -3.770 0.000
4.896 3.770 0.000
-0.051 0.000 10.650
Cs Tb Cu Cl
1 1 2 8
Cartesian
0.000 0.000 0.000
-0.025 0.000 5.325
3.602 0.000 7.483
6.139 0.000 3.167
4.732 2.034 7.360
5.009 2.034 3.290
2.647 0.000 5.446
3.279 0.000 9.638
6.462 0.000 1.011
7.094 0.000 5.203
4.732 -2.034 7.360
5.009 -2.034 3.290
```

Values from the calculation:
**Energy relative to the elements, uncorrected**: -1298 meV per atom
**Calculated volume**: 393.2 Å³/cell
**Electronic total energy**: -3.6692 eV/atom

---

First-principles (PBE) data for MgZn2Ga2Pt2 after structural relaxation, as listed in Alexandria.

POSCAR file:
```
MgZn2Ga2Pt2
1.0
3.798 -2.185 0.000
3.798 2.185 0.000
-2.573 0.000 6.900
Mg Zn Ga Pt
1 2 2 2
Cartesian
0.000 0.000 0.000
-0.022 0.000 2.797
5.045 0.000 4.103
2.526 0.000 1.361
2.497 0.000 5.538
-0.030 0.000 5.377
5.053 0.000 1.523
```

Values from the calculation:
**Calculated formation energy**: -542 meV/atom
**Calculated volume**: 114.5 Å³/cell
**Electronic total energy**: -3.7242 eV/atom

---

First-principles (PBE) data for CaCoAs after structural relaxation, as listed in Alexandria.

POSCAR file:
```
CaCoAs
1.0
0.000 3.079 3.079
3.079 0.000 3.079
3.079 3.079 0.000
Ca Co As
1 1 1
Cartesian
0.000 0.000 0.000
1.540 1.540 1.540
3.079 3.079 3.079
```

Values from the calculation:
**Calculated formation energy**: -243 meV/atom
**Calculated volume**: 58.4 Å³/cell
**Electronic total energy**: -4.8284 eV/atom

---

First-principles (PBE) data for PmSmDy2Bi4 after structural relaxation, as listed in Alexandria.

POSCAR file:
```
PmSmDy2Bi4
1.0
7.830 0.000 0.000
0.000 4.526 0.000
-2.612 0.000 7.386
Pm Sm Dy Bi
1 1 2 4
Cartesian
0.000 0.000 0.000
-1.306 2.263 3.693
2.609 0.000 3.693
3.915 2.263 0.000
0.042 0.000 5.550
1.347 2.263 1.867
5.175 0.000 1.836
3.870 2.263 5.519
```

Values from the calculation:
**Calculated formation energy**: -895 meV/atom
**Calculated volume**: 261.8 Å³/cell
**Electronic total energy**: -5.1695 eV/atom

---

First-principles (PBE) data for Rh2W2Au after structural relaxation, as listed in Alexandria.

POSCAR file:
```
Rh2W2Au
1.0
7.623 0.000 0.000
0.000 7.623 0.000
0.000 0.000 2.780
Rh W Au
4 4 2
Cartesian
0.968 2.843 0.000
2.843 6.655 0.000
4.780 0.968 0.000
6.655 4.780 0.000
1.273 5.085 1.390
2.538 1.273 1.390
5.085 6.350 1.390
6.350 2.538 1.390
0.000 0.000 0.000
3.812 3.812 0.000
```

Values from the calculation:
**Relative energy among the computed polymorphs**: 0 meV/atom
**Calculated formation energy**: 91 meV/atom
**Calculated volume**: 161.6 Å³/cell
**Electronic total energy**: -8.6863 eV/atom

---

First-principles (PBE) data for NaTaB3 after structural relaxation, as listed in Alexandria.

POSCAR file:
```
NaTaB3
1.0
3.967 0.000 0.000
0.000 3.967 0.000
0.000 0.000 3.967
Na Ta B
1 1 3
Cartesian
0.000 0.000 0.000
1.984 1.984 1.984
0.000 0.000 1.984
0.000 1.984 0.000
1.984 0.000 0.000
```

Values from the calculation:
**Relative energy among the computed polymorphs**: 1323 meV/atom
**Calculated formation energy**: 2476 meV/atom
**Calculated volume**: 62.4 Å³/cell
**Electronic total energy**: -4.1647 eV/atom

---

First-principles (PBE) data for AlZnGa3 after structural relaxation, as listed in Alexandria.

POSCAR file:
```
AlZnGa3
1.0
5.059 0.000 0.000
-1.155 5.335 0.000
-0.889 -2.958 6.550
Al Zn Ga
2 2 6
Cartesian
0.000 0.000 0.000
0.992 -0.952 5.258
2.095 3.381 1.189
2.799 1.002 4.068
0.119 0.842 2.701
-0.285 3.559 2.553
0.412 1.741 5.306
2.578 0.698 1.323
3.473 -1.648 3.935
3.594 -0.314 6.502
```

Values from the calculation:
**Relative energy among the computed polymorphs**: 0 meV/atom
**Calculated formation energy**: 37 meV/atom
**Calculated volume**: 176.8 Å³/cell
**Electronic total energy**: -2.7826 eV/atom

---

What is the calculated volume in the fourth record?
58.4 Å³/cell

---

Which of these has the highest electronic total energy?
AlZnGa3

---

Copy entry 7 word for word.
First-principles (PBE) data for NaTaB3 after structural relaxation, as listed in Alexandria.

POSCAR file:
```
NaTaB3
1.0
3.967 0.000 0.000
0.000 3.967 0.000
0.000 0.000 3.967
Na Ta B
1 1 3
Cartesian
0.000 0.000 0.000
1.984 1.984 1.984
0.000 0.000 1.984
0.000 1.984 0.000
1.984 0.000 0.000
```

Values from the calculation:
**Relative energy among the computed polymorphs**: 1323 meV/atom
**Calculated formation energy**: 2476 meV/atom
**Calculated volume**: 62.4 Å³/cell
**Electronic total energy**: -4.1647 eV/atom

---

What is the electronic total energy in the seventh record?
-4.1647 eV/atom